Entry 1:
# PrMg (PBE-GGA, relaxed)
# **Magnetic moment**: 0.007 μB per cell
# **Offset from the most stable computed form**: 83.2 meV per atom
data_PrMg
_chemical_formula_sum 'Pr6 Mg6'
_symmetry_space_group_name_H-M 'P 1 21/m 1'
_symmetry_Int_Tables_number 11
_symmetry_space_group_name_Hall '-P 2yb'
_cell_length_a 7.287
_cell_length_b 5.493
_cell_length_c 9.079
_cell_angle_alpha 90.00
_cell_angle_beta 101.67
_cell_angle_gamma 90.00
loop_
_atom_site_label
_atom_site_fract_x
_atom_site_fract_y
_atom_site_fract_z
Pr1 0.137 0.250 0.044
Pr2 0.204 0.750 0.308
Pr3 0.356 0.750 0.927
Mg1 0.023 0.750 0.615
Mg2 0.299 0.250 0.685
Mg3 0.466 0.250 0.386

---

Entry 2:
# NaGdAgSe3 (PBE-GGA, relaxed)
# **Total DFT energy (no corrections)**: -4.245 eV/atom
# **Magnetic moment**: 0.557 μB per cell
data_NaGdAgSe3
_chemical_formula_sum 'Na4 Gd4 Ag4 Se12'
_symmetry_space_group_name_H-M 'C m c m'
_symmetry_Int_Tables_number 63
_symmetry_space_group_name_Hall '-C 2c 2'
_cell_length_a 4.036
_cell_length_b 14.083
_cell_length_c 10.670
_cell_angle_alpha 90.00
_cell_angle_beta 90.00
_cell_angle_gamma 90.00
loop_
_atom_site_label
_atom_site_fract_x
_atom_site_fract_y
_atom_site_fract_z
Na1 0.000 0.238 0.250
Gd1 0.000 0.000 0.000
Ag1 0.000 0.472 0.750
Se1 0.000 0.093 0.750
Se2 0.000 0.359 0.559

---

Entry 3:
# GaCu15 (PBE-GGA, relaxed)
# **Offset from the most stable computed form**: 5.0 meV per atom
data_GaCu15
_chemical_formula_sum 'Ga4 Cu60'
_symmetry_space_group_name_H-M 'P c c m'
_symmetry_Int_Tables_number 49
_symmetry_space_group_name_Hall '-P 2 2c'
_cell_length_a 7.192
_cell_length_b 42.341
_cell_length_c 3.617
_cell_angle_alpha 90.00
_cell_angle_beta 90.00
_cell_angle_gamma 90.00
loop_
_atom_site_label
_atom_site_fract_x
_atom_site_fract_y
_atom_site_fract_z
Ga1 0.139 0.175 0.000
Cu1 0.125 0.222 0.500
Cu2 0.125 0.307 0.500
Cu3 0.125 0.350 0.000
Cu4 0.125 0.393 0.500
Cu5 0.125 0.436 0.000
Cu6 0.125 0.479 0.500
Cu7 0.127 0.265 0.000
Cu8 0.375 0.307 0.000
Cu9 0.375 0.350 0.500
Cu10 0.375 0.393 0.000
Cu11 0.375 0.436 0.500
Cu12 0.375 0.479 0.000
Cu13 0.376 0.264 0.500
Cu14 0.377 0.221 0.000
Cu15 0.379 0.178 0.500

---

Entry 4:
# AcLuNp (PBE-GGA, relaxed)
# **ΔH_f (0 K)**: 3.4 eV/f.u.
# **Magnetic moment**: 20.101 μB per cell
# **Offset from the most stable computed form**: 0.0 meV per atom
data_AcLuNp
_chemical_formula_sum 'Ac4 Lu4 Np4'
_symmetry_space_group_name_H-M 'F -4 3 m'
_symmetry_Int_Tables_number 216
_symmetry_space_group_name_Hall 'F -4 2 3'
_cell_length_a 7.747
_cell_length_b 7.747
_cell_length_c 7.747
_cell_angle_alpha 90.00
_cell_angle_beta 90.00
_cell_angle_gamma 90.00
loop_
_atom_site_label
_atom_site_fract_x
_atom_site_fract_y
_atom_site_fract_z
Ac1 0.000 0.000 0.000
Lu1 0.250 0.250 0.250
Np1 0.000 0.000 0.500

---

Entry 5:
# SrMgCd2Ga (PBE-GGA, relaxed)
# **Total DFT energy (no corrections)**: -1.852 eV/atom
data_SrMgCd2Ga
_chemical_formula_sum 'Sr2 Mg2 Cd4 Ga2'
_symmetry_space_group_name_H-M 'I 4 m m'
_symmetry_Int_Tables_number 107
_symmetry_space_group_name_Hall 'I 4 -2'
_cell_length_a 4.560
_cell_length_b 4.560
_cell_length_c 12.189
_cell_angle_alpha 90.00
_cell_angle_beta 90.00
_cell_angle_gamma 90.00
loop_
_atom_site_label
_atom_site_fract_x
_atom_site_fract_y
_atom_site_fract_z
Sr1 0.000 0.000 0.000
Mg1 0.000 0.000 0.385
Cd1 0.000 0.500 0.239
Ga1 0.000 0.000 0.605

---

Entry 6:
# RbCd4 (PBE-GGA, relaxed)
# **Total DFT energy (no corrections)**: -0.974 eV/atom
data_RbCd4
_chemical_formula_sum 'Rb2 Cd8'
_symmetry_space_group_name_H-M 'I 4/m m m'
_symmetry_Int_Tables_number 139
_symmetry_space_group_name_Hall '-I 4 2'
_cell_length_a 5.001
_cell_length_b 5.001
_cell_length_c 12.317
_cell_angle_alpha 90.00
_cell_angle_beta 90.00
_cell_angle_gamma 90.00
loop_
_atom_site_label
_atom_site_fract_x
_atom_site_fract_y
_atom_site_fract_z
Rb1 0.000 0.000 0.000
Cd1 0.000 0.000 0.381
Cd2 0.000 0.500 0.250